Record 1
Below is a geometry-optimized Zn4Mo5 structure, with properties calculated at the PBE level.

Calculated values
energy relative to the lowest polymorph listed for this composition = 0.0 meV/atom
symmetry = I4/mmm
ΔE_f = 0.095 eV per atom

Cell lengths 6.524, 6.524, 6.524 Å; angles 93.94, 93.94, 149.61 degrees
Atoms (fractional coordinates):
Mo: 0.670 0.670 0.340
Zn: 0.000 0.336 0.336
Mo: 0.000 0.000 0.000
Mo: 0.330 0.330 0.660
Zn: 0.336 0.000 0.336
Zn: 0.664 0.000 0.664
Zn: 0.000 0.664 0.664
Mo: 0.330 0.670 0.000
Mo: 0.670 0.330 0.000

***

Record 2
Below is a geometry-optimized PrGa3CuRh structure, with properties calculated at the PBE level.

Calculated values
symmetry = Cmcm
ΔE_f = -0.362 eV per atom

Cell lengths 5.834, 6.361, 6.925 Å; angles 117.34, 90.00, 90.00 degrees
Atoms (fractional coordinates):
Pr: 0.750 0.274 0.547
Ga: 0.500 0.304 0.000
Cu: 0.750 0.644 0.287
Rh: 0.250 0.946 0.892
Ga: 0.250 0.152 0.304
Ga: 0.000 0.304 0.000
Ga: 0.750 0.848 0.696
Rh: 0.750 0.054 0.108
Ga: 0.500 0.696 0.000
Ga: 0.000 0.696 0.000
Pr: 0.250 0.726 0.453
Cu: 0.250 0.356 0.713

***

Record 3
Below is a geometry-optimized Dy5TlHg2 structure, with properties calculated at the PBE level.

Calculated values
symmetry = I4/mcm
ΔE_f = -0.337 eV per atom

Cell lengths 8.304, 8.304, 8.767 Å; angles 118.27, 118.27, 90.00 degrees
Atoms (fractional coordinates):
Dy: 0.000 0.000 0.000
Tl: 0.250 0.250 0.500
Dy: 0.197 0.004 0.701
Tl: 0.750 0.750 0.500
Dy: 0.004 0.504 0.701
Dy: 0.697 0.197 0.701
Hg: 0.860 0.640 0.000
Hg: 0.140 0.360 0.000
Dy: 0.500 0.500 0.000
Dy: 0.303 0.803 0.299
Dy: 0.496 0.303 0.299
Hg: 0.360 0.860 0.000
Dy: 0.803 0.996 0.299
Hg: 0.640 0.140 0.000
Dy: 0.996 0.496 0.299
Dy: 0.504 0.697 0.701

***

Record 4
Below is a geometry-optimized Mg2Ag3Au4 structure, with properties calculated at the PBE level.

Calculated values
energy relative to the lowest polymorph listed for this composition = 23.1 meV/atom
symmetry = C2/m
ΔE_f = -0.278 eV per atom

Cell lengths 4.521, 4.753, 8.608 Å; angles 85.59, 90.00, 118.39 degrees
Atoms (fractional coordinates):
Au: 0.002 0.004 0.669
Ag: 0.000 0.000 0.000
Au: 0.998 0.996 0.331
Ag: 0.666 0.331 0.450
Mg: 0.668 0.336 0.786
Au: 0.666 0.332 0.117
Mg: 0.332 0.664 0.214
Au: 0.334 0.668 0.883
Ag: 0.334 0.669 0.550

***

Record 5
Below is a geometry-optimized AlHg structure, with properties calculated at the PBE level.

Calculated values
symmetry = I4/m
ΔE_f = 0.120 eV per atom

Cell lengths 9.736, 9.736, 3.933 Å; angles 90.00, 90.00, 90.00 degrees
Atoms (fractional coordinates):
Al: 0.085 0.616 0.000
Al: 0.884 0.585 0.500
Al: 0.415 0.884 0.500
Hg: 0.184 0.880 0.000
Hg: 0.816 0.120 0.000
Al: 0.915 0.384 0.000
Al: 0.616 0.915 0.000
Hg: 0.880 0.816 0.000
Hg: 0.316 0.620 0.500
Hg: 0.684 0.380 0.500
Hg: 0.120 0.184 0.000
Al: 0.384 0.085 0.000
Hg: 0.620 0.684 0.500
Hg: 0.380 0.316 0.500
Al: 0.116 0.415 0.500
Al: 0.585 0.116 0.500

***

Record 6
Below is a geometry-optimized RbGa2Ag2 structure, with properties calculated at the PBE level.

Calculated values
energy relative to the lowest polymorph listed for this composition = 88.2 meV/atom
symmetry = P4/mbm
ΔE_f = 0.076 eV per atom

Cell lengths 8.791, 8.791, 2.911 Å; angles 90.00, 90.00, 90.00 degrees
Atoms (fractional coordinates):
Ag: 0.151 0.349 0.000
Ag: 0.651 0.151 0.000
Ag: 0.849 0.651 0.000
Ga: 0.369 0.131 0.500
Ga: 0.631 0.869 0.500
Rb: 0.500 0.500 0.000
Rb: 0.000 0.000 0.000
Ga: 0.869 0.369 0.500
Ag: 0.349 0.849 0.000
Ga: 0.131 0.631 0.500

***

Record 7
Below is a geometry-optimized Os2Ru structure, with properties calculated at the PBE level.

Calculated values
energy relative to the lowest polymorph listed for this composition = 1328.4 meV/atom
symmetry = P-3m1
ΔE_f = 1.310 eV per atom

Cell lengths 3.355, 5.144, 3.355 Å; angles 90.00, 120.00, 90.00 degrees
Atoms (fractional coordinates):
Os: 0.333 0.639 0.667
Ru: 0.000 0.000 0.000
Os: 0.667 0.361 0.333

***

Record 8
Below is a geometry-optimized PmSeCl structure, with properties calculated at the PBE level.

Calculated values
energy relative to the lowest polymorph listed for this composition = 341.2 meV/atom
E_form (uncorrected) = -1.7312 eV/atom
symmetry = I4mm

Cell lengths 3.635, 3.635, 7.187 Å; angles 104.65, 104.65, 90.00 degrees
Atoms (fractional coordinates):
Pm: 0.659 0.659 0.318
Cl: 0.292 0.292 0.584
Se: 0.049 0.049 0.098